CsSb3Pb3: optimized geometry, PBE-GGA.

a = 10.7092 Å, b = 10.7092 Å, c = 5.9042 Å
α = 90.00°, β = 90.00°, γ = 120.00°
Space group P6_3/m (No. 176)
Inequivalent atoms, fractional coordinates:
Cs1 0.3333 0.6667 0.2500 (multiplicity 2)
Sb1 0.0496 0.6360 0.7500 (multiplicity 6)
Pb1 0.0521 0.3448 0.7500 (multiplicity 6)

V ... 293.2 Å³/f.u.
Total moment ... 0.00 μB/f.u.
E_tot ... -0.2586 Ry per atom